P) The following is a PBE-GGA calculation of an optimized crystal structure of Nd6MgZn, from Alexandria.

Summary:
magnetic moment = 0.00 μB/f.u.

Unit cell a=9.0325 b=8.9733 c=6.2909 alpha=44.62 beta=44.48 gamma=59.30
Last column: nearest neighbours and their distance in Å.
Atoms (fractional coordinates):
1 Nd 0.9711 0.4673 0.8094  2 Nd 3.15-3.24, 1 Mg 3.35, 1 Zn 3.36
2 Nd 0.7523 0.9672 0.8065  3 Nd 3.17-3.54, 1 Mg 3.37, 1 Zn 3.41
3 Nd 0.5420 0.2480 0.1834  3 Nd 3.19-3.55, 1 Zn 3.29, 1 Mg 3.37
4 Nd 0.2477 0.0328 0.1935  3 Nd 3.17-3.54, 1 Mg 3.37, 1 Zn 3.41
5 Nd 0.0289 0.5327 0.1906  2 Nd 3.15-3.24, 1 Mg 3.35, 1 Zn 3.36
6 Nd 0.4580 0.7520 0.8166  3 Nd 3.19-3.55, 1 Zn 3.29, 1 Mg 3.37
7 Mg 0.5000 0.5000 0.5000  12 Nd 3.35-3.75
8 Zn 0.0000 0.0000 0.0000  10 Nd 3.29-3.68



Q) The following is a PBE-GGA calculation of an optimized crystal structure of Nd6MgZn, from Alexandria.

Summary:
magnetic moment = 0.00 μB/f.u.

Unit cell a=5.2705 b=5.2705 c=9.7332 alpha=74.29 beta=74.29 gamma=90.00
Last column: nearest neighbours and their distance in Å.
Atoms (fractional coordinates):
1 Nd 0.7490 0.7490 0.5019  12 Nd 3.65-3.73
2 Nd 0.6082 0.1082 0.7836  2 Zn 3.28, 2 Mg 3.28, 2 Nd 3.65
3 Nd 0.1082 0.6082 0.7836  2 Mg 3.28, 2 Zn 3.28, 2 Nd 3.65
4 Nd 0.3918 0.8918 0.2164  2 Zn 3.28, 2 Mg 3.28, 2 Nd 3.65
5 Nd 0.2510 0.2510 0.4981  12 Nd 3.65-3.73
6 Nd 0.8918 0.3918 0.2164  2 Mg 3.28, 2 Zn 3.28, 2 Nd 3.65
7 Mg 0.5000 0.5000 0.0000  8 Nd 3.28
8 Zn 0.0000 0.0000 0.0000  8 Nd 3.28



Structures ranked by computed energy, the most stable listed first: Q), P).



P) The following is a PBE-GGA calculation of an optimized crystal structure of NdMg2Zn6, from Alexandria.

Summary:
magnetic moment = 0.00 μB/f.u.

Unit cell a=3.2210 b=7.8708 c=7.8708 alpha=120.00 beta=90.00 gamma=90.00
Last column: nearest neighbours and their distance in Å.
Atoms (fractional coordinates):
1 Nd 0.0000 0.0000 0.0000  12 Zn 3.13, 2 Nd 3.22
2 Mg 0.0000 0.3333 0.6667  12 Zn 3.06, 2 Mg 3.22
3 Mg 0.0000 0.6667 0.3333  12 Zn 3.06, 2 Mg 3.22
4 Zn 0.5000 0.3403 0.3403  3 Zn 2.51-2.68
5 Zn 0.5000 0.6597 0.6597  3 Zn 2.51-2.68
6 Zn 0.5000 0.0000 0.6597  3 Zn 2.51-2.68
7 Zn 0.5000 0.6597 0.0000  3 Zn 2.51-2.68
8 Zn 0.5000 0.3403 0.0000  3 Zn 2.51-2.68
9 Zn 0.5000 0.0000 0.3403  3 Zn 2.51-2.68



Q) The following is a PBE-GGA calculation of an optimized crystal structure of NdMg2Zn6, from Alexandria.

Summary:
magnetic moment = 0.00 μB/f.u.

Unit cell a=3.9766 b=7.5261 c=7.5261 alpha=56.02 beta=74.68 gamma=74.68
Last column: nearest neighbours and their distance in Å.
Atoms (fractional coordinates):
1 Nd 0.0000 0.0000 0.0000  12 Zn 3.03-3.37
2 Mg 0.8750 0.6250 0.6250  10 Zn 2.77-3.03
3 Mg 0.1250 0.3750 0.3750  10 Zn 2.77-3.03
4 Zn 0.6857 0.0087 0.6198  4 Zn 2.53-2.75, 1 Mg 2.77
5 Zn 0.3143 0.9913 0.3802  4 Zn 2.53-2.75, 1 Mg 2.77
6 Zn 0.3143 0.3802 0.9913  4 Zn 2.53-2.75, 1 Mg 2.77
7 Zn 0.5000 0.6756 0.3244  3 Zn 2.48-2.53
8 Zn 0.5000 0.3244 0.6756  3 Zn 2.48-2.53
9 Zn 0.6857 0.6198 0.0087  4 Zn 2.53-2.75, 1 Mg 2.77



Structures ranked by computed energy, the most stable listed first: Q), P).



P) The following is a PBE-GGA calculation of an optimized crystal structure of Nd4MgZn2, from Alexandria.

Summary:
magnetic moment = 0.00 μB/f.u.

Unit cell a=5.2631 b=5.2631 c=9.2708 alpha=73.51 beta=73.51 gamma=60.00
Last column: nearest neighbours and their distance in Å.
Atoms (fractional coordinates):
1 Nd 0.3787 0.3787 0.8638  3 Mg 3.26, 3 Zn 3.34, 3 Nd 3.63
2 Nd 0.2126 0.2126 0.3622  4 Zn 3.02-3.10
3 Nd 0.7874 0.7874 0.6378  4 Zn 3.02-3.10
4 Nd 0.6213 0.6213 0.1362  3 Mg 3.26, 3 Zn 3.34, 3 Nd 3.63
5 Mg 0.0000 0.0000 0.0000  2 Zn 2.57
6 Zn 0.0978 0.0978 0.7066  1 Mg 2.57
7 Zn 0.9022 0.9022 0.2934  1 Mg 2.57



Q) The following is a PBE-GGA calculation of an optimized crystal structure of Nd4MgZn2, from Alexandria.

Summary:
magnetic moment = 0.00 μB/f.u.

Unit cell a=5.2329 b=5.2329 c=8.8681 alpha=72.84 beta=72.84 gamma=60.00
Last column: nearest neighbours and their distance in Å.
Atoms (fractional coordinates):
1 Nd 0.8667 0.8667 0.3999  4 Zn 3.15-3.36, 1 Mg 3.33, 3 Nd 3.45
2 Nd 0.1333 0.1333 0.6001  4 Zn 3.15-3.36, 1 Mg 3.33, 3 Nd 3.45
3 Nd 0.6134 0.6134 0.1598  4 Zn 3.07-3.18, 3 Mg 3.30
4 Nd 0.3866 0.3866 0.8402  4 Zn 3.07-3.18, 3 Mg 3.30
5 Mg 0.0000 0.0000 0.0000  8 Nd 3.30-3.33, 6 Zn 3.54
6 Zn 0.7407 0.7407 0.7778  8 Nd 3.07-3.36
7 Zn 0.2593 0.2593 0.2222  8 Nd 3.07-3.36



Structures ranked by computed energy, the most stable listed first: Q), P).



P) The following is a PBE-GGA calculation of an optimized crystal structure of NdMgZr, from Alexandria.

Summary:
magnetic moment = 0.61 μB/f.u.

Unit cell a=3.2005 b=5.3626 c=5.3626 alpha=120.00 beta=90.00 gamma=90.00
Last column: nearest neighbours and their distance in Å.
Atoms (fractional coordinates):
1 Mg 0.2554 0.3333 0.6667  3 Zr 3.14, 2 Mg 3.20, 3 Nd 3.34
2 Nd 0.6434 0.6667 0.3333  2 Nd 3.20, 3 Mg 3.34, 6 Zr 3.43-3.55
3 Zr 0.1012 0.0000 0.0000  3 Mg 3.14, 2 Zr 3.20, 3 Nd 3.43



Q) The following is a PBE-GGA calculation of an optimized crystal structure of NdMgZr, from Alexandria.

Summary:
magnetic moment = 0.00 μB/f.u.

Unit cell a=3.3922 b=3.3922 c=7.3771 alpha=103.29 beta=103.29 gamma=90.00
Last column: nearest neighbours and their distance in Å.
Atoms (fractional coordinates):
1 Mg 0.6783 0.6783 0.3566  4 Zr 3.16, 4 Mg 3.39, 4 Nd 3.50
2 Nd 0.9958 0.9958 0.9916  4 Zr 3.37, 4 Nd 3.39, 4 Mg 3.50
3 Zr 0.3259 0.3259 0.6517  4 Mg 3.16, 4 Nd 3.37, 4 Zr 3.39



Structures ranked by computed energy, the most stable listed first: Q), P).



P) The following is a PBE-GGA calculation of an optimized crystal structure of Mg5Ni, from Alexandria.

Summary:
magnetic moment = 0.00 μB/f.u.

Unit cell a=6.5690 b=6.5690 c=4.2976 alpha=90.00 beta=90.00 gamma=141.31
Last column: nearest neighbours and their distance in Å.
Atoms (fractional coordinates):
1 Mg 0.3447 0.6553 0.5000  2 Ni 2.88, 10 Mg 2.91-3.20
2 Mg 0.1538 0.8462 0.0000  8 Mg 2.87-3.20, 2 Ni 2.89
3 Mg 0.0000 0.0000 0.5000  8 Mg 2.87-2.91, 4 Ni 3.06
4 Mg 0.8462 0.1538 0.0000  8 Mg 2.87-3.20, 2 Ni 2.89
5 Mg 0.6553 0.3447 0.5000  2 Ni 2.88, 10 Mg 2.91-3.20
6 Ni 0.5000 0.5000 0.0000  12 Mg 2.88-3.06



Q) The following is a PBE-GGA calculation of an optimized crystal structure of Mg5Ni, from Alexandria.

Summary:
magnetic moment = 0.00 μB/f.u.

Unit cell a=5.5205 b=5.5205 c=5.0614 alpha=90.00 beta=90.00 gamma=120.00
Last column: nearest neighbours and their distance in Å.
Atoms (fractional coordinates):
1 Mg 0.3333 0.6667 0.0000  9 Mg 2.99-3.19, 3 Ni 3.19
2 Mg 0.6667 0.3333 0.0000  9 Mg 2.99-3.19, 3 Ni 3.19
3 Mg 0.5000 0.0000 0.5000  8 Mg 2.76-2.99
4 Mg 0.0000 0.5000 0.5000  8 Mg 2.76-2.99
5 Mg 0.5000 0.5000 0.5000  8 Mg 2.76-2.99
6 Ni 0.0000 0.0000 0.0000  6 Mg 3.19



Structures ranked by computed energy, the most stable listed first: P), Q).